Compound: NdFePd
Source: Alexandria via LeMat-Bulk
Functional: PBE-GGA
Structure: relaxed

Calculated values
Total magnetic moment, Bohr magnetons per cell: 5.185
SG: P4/mmm, No. 123
Energy relative to the elements, eV per atom: -0.0970

Lattice parameters (Å, degrees): 4.934 3.490 9.916 90.00 90.00 134.97
Each line ends with the local moment (μB).
Atoms (fractional coordinates):
Fe: 0.695 0.389 0.613  2.69
Fe: 0.695 0.389 0.387  2.69
Pd: 0.195 0.390 0.500  0.23
Pd: 0.694 0.388 0.000  0.00
Nd: 0.194 0.388 0.811  -0.15
Nd: 0.194 0.388 0.189  -0.15

---

Compound: KPdSe3
Source: Alexandria via LeMat-Bulk
Functional: PBE-GGA
Structure: relaxed

Calculated values
Total magnetic moment, Bohr magnetons per cell: 0.000
Energy above the lowest structure with this stoichiometry, meV/atom: 0.0
SG: C2/c, No. 15
Raw formation energy, eV/f.u.: -2.50

Lattice parameters (Å, degrees): 7.863 6.434 7.468 76.98 68.36 52.34
Atoms (fractional coordinates):
Se: 0.751 0.912 0.903
Se: 0.663 0.088 0.403
Se: 0.178 0.644 0.750
Se: 0.822 0.356 0.250
Se: 0.337 0.912 0.597
Se: 0.249 0.088 0.097
Pd: 0.570 0.860 0.250
Pd: 0.430 0.140 0.750
K: 0.208 0.583 0.250
K: 0.792 0.417 0.750

---

Compound: ErTmCu
Source: Alexandria via LeMat-Bulk
Functional: PBE-GGA
Structure: relaxed

Calculated values
Total magnetic moment, Bohr magnetons per cell: 0.001
Energy above the lowest structure with this stoichiometry, meV/atom: 190.7
SG: F-43m, No. 216
Energy relative to the elements, eV per atom: 0.0245

Lattice parameters (Å, degrees): 4.784 4.784 4.784 60.00 60.00 60.00
Atoms (fractional coordinates):
Er: 0.000 0.000 0.000
Cu: 0.250 0.250 0.250
Tm: 0.500 0.500 0.500

---

Compound: Ca3Ac2Cd4
Source: Alexandria via LeMat-Bulk
Functional: PBE-GGA
Structure: relaxed

Calculated values
Total magnetic moment, Bohr magnetons per cell: 0.000
Energy above the lowest structure with this stoichiometry, meV/atom: 0.0
SG: C2/m, No. 12
Energy relative to the elements, eV per atom: -0.2739

Lattice parameters (Å, degrees): 5.594 5.594 10.807 90.01 90.00 60.00
Atoms (fractional coordinates):
Ca: 0.666 0.667 0.585
Ca: 0.334 0.333 0.415
Ca: 0.000 0.000 0.000
Cd: 0.334 0.333 0.101
Cd: 0.666 0.667 0.899
Cd: 0.000 0.999 0.356
Cd: 0.000 0.001 0.644
Ac: 0.333 0.334 0.789
Ac: 0.667 0.666 0.211